Below is a geometry-optimized ErMnF5 structure, with properties calculated at the PBE with a Hubbard U level.

Properties
crystal system: monoclinic
total DFT energy (no corrections): -0.48213 Ry per atom
calculated volume: 15.71 Å³ per atom

Lattice parameters (Å, degrees): 5.737 5.737 7.615 71.04 71.04 73.87
Atoms (fractional coordinates):
Mn (0.000, 0.000, 0.500)
Mn (0.000, 0.000, 0.000)
Er (0.549, 0.451, 0.250)
Er (0.451, 0.549, 0.750)
F (0.312, 0.671, 0.461)
F (0.871, 0.129, 0.250)
F (0.688, 0.329, 0.539)
F (0.329, 0.688, 0.039)
F (0.220, 0.275, 0.871)
F (0.780, 0.725, 0.129)
F (0.671, 0.312, 0.961)
F (0.129, 0.871, 0.750)
F (0.275, 0.220, 0.371)
F (0.725, 0.780, 0.629)